DFT (PBE) results for a relaxed structure of BaHg2As.

Properties
D(E_F): 2.8 states/eV/f.u.
formation energy: -37.4 kJ per mole of atoms

```
BaHg2As
1.0
4.677 0.000 0.000
0.000 4.687 0.000
0.000 0.000 5.447
Ba Hg As
1 2 1
Direct
0.000 0.000 0.000
0.000 0.500 0.500
0.500 0.000 0.500
0.500 0.500 0.000
```

DFT (PBE) results for a relaxed structure of BaHgAs3.

Properties
D(E_F): 3.8 states/eV/f.u.
formation energy: 9.8 kJ per mole of atoms
E above lowest polymorph: 0 meV/atom

```
BaHgAs3
1.0
5.313 0.000 0.000
0.000 5.313 0.000
0.000 0.000 5.313
Ba Hg As
1 1 3
Direct
0.000 0.000 0.000
0.500 0.500 0.500
0.000 0.500 0.500
0.500 0.000 0.500
0.500 0.500 0.000
```

DFT (PBE) results for a relaxed structure of BaHg2As.

Properties
D(E_F): 1.0 states/eV/f.u.
formation energy: -37.3 kJ per mole of atoms

```
BaHg2As
1.0
4.852 0.000 0.000
0.000 4.852 0.000
0.000 0.000 22.150
Ba Hg As
4 8 4
Direct
0.000 0.000 0.000
0.000 0.500 0.250
0.500 0.000 0.750
0.500 0.500 0.500
0.179 0.250 0.625
0.250 0.679 0.875
0.250 0.821 0.375
0.321 0.250 0.125
0.679 0.750 0.125
0.750 0.179 0.375
0.750 0.321 0.875
0.821 0.750 0.625
0.000 0.000 0.500
0.000 0.500 0.750
0.500 0.000 0.250
0.500 0.500 0.000
```

DFT (PBE) results for a relaxed structure of Ba6Hg2AsI3.

Properties
D(E_F): 8.4 states/eV/f.u.
ΔE_f (raw): -1.062 eV per atom

```
Ba6Hg2AsI3
1.0
4.207 -7.282 0.000
4.207 7.282 0.000
-2.798 0.000 8.785
Ba Hg As I
6 2 1 3
Direct
0.072 0.389 0.217
0.243 0.243 0.782
0.389 0.072 0.217
0.611 0.928 0.783
0.757 0.757 0.218
0.928 0.611 0.783
0.333 0.667 0.000
0.667 0.333 0.000
0.000 0.000 0.000
0.167 0.833 0.500
0.500 0.500 0.500
0.833 0.167 0.500
```

DFT (PBE) results for a relaxed structure of Ba6HgAs2I3.

Properties
D(E_F): 3.5 states/eV/f.u.
ΔE_f (raw): -1.250 eV per atom

```
Ba6HgAs2I3
1.0
4.270 -7.398 0.000
4.270 7.398 0.000
-2.849 0.000 8.403
Ba Hg As I
6 1 2 3
Direct
0.083 0.431 0.792
0.221 0.221 0.208
0.431 0.083 0.792
0.569 0.917 0.208
0.779 0.779 0.792
0.917 0.569 0.208
0.500 0.500 0.000
0.167 0.833 0.000
0.833 0.167 0.000
0.000 0.000 0.500
0.335 0.665 0.500
0.665 0.335 0.500
```

DFT (PBE) results for a relaxed structure of Ba8Hg3AsI4.

Properties
D(E_F): 10.8 states/eV/f.u.
ΔE_f (raw): -1.011 eV per atom

```
Ba8Hg3AsI4
1.0
8.494 -4.910 0.000
8.494 4.910 0.000
-5.672 0.000 8.723
Ba Hg As I
8 3 1 4
Direct
0.231 0.750 0.714
0.232 0.232 0.716
0.250 0.769 0.286
0.260 0.260 0.278
0.740 0.740 0.722
0.750 0.231 0.714
0.768 0.768 0.284
0.769 0.250 0.286
0.000 0.500 0.500
0.500 0.000 0.500
0.500 0.500 0.500
0.000 0.000 0.500
0.000 0.000 0.000
0.000 0.500 0.000
0.500 0.000 0.000
0.500 0.500 0.000
```

DFT (PBE) results for a relaxed structure of BaInHgAs.

Properties
D(E_F): 2.4 states/eV/f.u.
formation energy: -40.8 kJ per mole of atoms

```
BaInHgAs
1.0
7.871 0.000 0.000
0.000 7.871 0.000
0.000 0.000 7.871
Ba In Hg As
4 4 4 4
Direct
0.000 0.000 0.000
0.000 0.500 0.500
0.500 0.000 0.500
0.500 0.500 0.000
0.000 0.000 0.500
0.000 0.500 0.000
0.500 0.000 0.000
0.500 0.500 0.500
0.250 0.250 0.750
0.250 0.750 0.250
0.750 0.250 0.250
0.750 0.750 0.750
0.250 0.250 0.250
0.250 0.750 0.750
0.750 0.250 0.750
0.750 0.750 0.250
```

DFT (PBE) results for a relaxed structure of BaInHg2As.

Properties
D(E_F): 3.2 states/eV/f.u.
formation energy: -7.0 kJ per mole of atoms

```
BaInHg2As
1.0
5.579 0.000 0.000
0.000 5.579 0.000
0.000 0.000 5.424
Ba In Hg As
1 1 2 1
Direct
0.000 0.000 0.000
0.500 0.500 0.000
0.000 0.500 0.500
0.500 0.000 0.500
0.500 0.500 0.500
```

DFT (PBE) results for a relaxed structure of Ba2HgAsIr.

Properties
D(E_F): 3.8 states/eV/f.u.
formation energy: -44.7 kJ per mole of atoms

```
Ba2HgAsIr
1.0
6.216 0.000 0.000
0.000 6.216 0.000
0.000 0.000 4.669
Ba Hg As Ir
2 1 1 1
Direct
0.000 0.500 0.000
0.500 0.000 0.000
0.000 0.000 0.500
0.500 0.500 0.500
0.500 0.500 0.000
```

DFT (PBE) results for a relaxed structure of KBaHgAs.

Properties
formation energy: -60.1 kJ per mole of atoms

```
KBaHgAs
1.0
8.088 0.000 0.000
0.000 8.088 0.000
0.000 0.000 8.088
K Ba Hg As
4 4 4 4
Direct
0.000 0.000 0.000
0.000 0.500 0.500
0.500 0.000 0.500
0.500 0.500 0.000
0.000 0.000 0.500
0.000 0.500 0.000
0.500 0.000 0.000
0.500 0.500 0.500
0.250 0.250 0.250
0.250 0.750 0.750
0.750 0.250 0.750
0.750 0.750 0.250
0.250 0.250 0.750
0.250 0.750 0.250
0.750 0.250 0.250
0.750 0.750 0.750
```

DFT (PBE) results for a relaxed structure of BaLiHg2As.

Properties
D(E_F): 2.3 states/eV/f.u.
formation energy: -45.0 kJ per mole of atoms

```
BaLiHg2As
1.0
5.087 0.000 0.000
0.000 5.087 0.000
0.000 0.000 5.209
Ba Li Hg As
1 1 2 1
Direct
0.000 0.000 0.000
0.500 0.500 0.500
0.000 0.500 0.500
0.500 0.000 0.500
0.500 0.500 0.000
```

DFT (PBE) results for a relaxed structure of BaLiHgAs.

Properties
formation energy: -58.3 kJ per mole of atoms

```
BaLiHgAs
1.0
7.669 0.000 0.000
0.000 7.669 0.000
0.000 0.000 7.669
Ba Li Hg As
4 4 4 4
Direct
0.000 0.000 0.000
0.000 0.500 0.500
0.500 0.000 0.500
0.500 0.500 0.000
0.000 0.000 0.500
0.000 0.500 0.000
0.500 0.000 0.000
0.500 0.500 0.500
0.250 0.250 0.750
0.250 0.750 0.250
0.750 0.250 0.250
0.750 0.750 0.750
0.250 0.250 0.250
0.250 0.750 0.750
0.750 0.250 0.750
0.750 0.750 0.250
```

DFT (PBE) results for a relaxed structure of Ba2LiHgAs.

Properties
D(E_F): 3.9 states/eV/f.u.
formation energy: -55.6 kJ per mole of atoms

```
Ba2LiHgAs
1.0
6.414 0.000 0.000
0.000 6.414 0.000
0.000 0.000 4.804
Ba Li Hg As
2 1 1 1
Direct
0.000 0.500 0.000
0.500 0.000 0.000
0.000 0.000 0.500
0.500 0.500 0.500
0.000 0.000 0.000
```

DFT (PBE) results for a relaxed structure of Ba2HgAsN.

Properties
D(E_F): 4.0 states/eV/f.u.
ΔE_f (raw): 0.642 eV per atom

```
Ba2HgAsN
1.0
6.395 0.000 0.000
0.000 6.395 0.000
0.000 0.000 5.090
Ba Hg As N
2 1 1 1
Direct
0.000 0.500 0.000
0.500 0.000 0.000
0.000 0.000 0.000
0.000 0.000 0.500
0.500 0.500 0.500
```

DFT (PBE) results for a relaxed structure of Ba6HgAs2N.

Properties
D(E_F): 5.0 states/eV/f.u.
ΔE_f (raw): -0.680 eV per atom

```
Ba6HgAs2N
1.0
7.838 0.000 0.000
0.000 8.680 0.000
-6.940 0.000 11.157
Ba Hg As N
12 2 4 2
Direct
0.057 0.058 0.221
0.057 0.442 0.721
0.215 0.708 0.078
0.215 0.792 0.578
0.358 0.156 0.067
0.358 0.344 0.567
0.642 0.656 0.433
0.642 0.844 0.933
0.785 0.208 0.422
0.785 0.292 0.922
0.943 0.558 0.279
0.943 0.942 0.779
0.500 0.000 0.500
0.500 0.500 0.000
0.317 0.116 0.763
0.317 0.384 0.263
0.683 0.616 0.737
0.683 0.884 0.237
0.000 0.000 0.000
0.000 0.500 0.500
```

DFT (PBE) results for a relaxed structure of BaNaHg2As.

Properties
D(E_F): 1.5 states/eV/f.u.
formation energy: -51.2 kJ per mole of atoms

```
BaNaHg2As
1.0
4.595 0.000 0.000
0.000 4.707 0.000
0.000 0.000 13.428
Ba Na Hg As
2 2 4 2
Direct
0.000 0.000 0.000
0.500 0.500 0.500
0.000 0.500 0.723
0.500 0.000 0.223
0.000 0.000 0.374
0.000 0.500 0.235
0.500 0.000 0.735
0.500 0.500 0.874
0.000 0.000 0.582
0.500 0.500 0.082
```

DFT (PBE) results for a relaxed structure of BaNa2Hg2As2.

Properties
D(E_F): 1.1 states/eV/f.u.
formation energy: -47.0 kJ per mole of atoms

```
BaNa2Hg2As2
1.0
2.419 1.397 8.960
-2.419 1.397 8.960
0.000 -2.793 8.960
Ba Na Hg As
1 2 2 2
Direct
0.000 0.000 0.000
0.144 0.144 0.144
0.856 0.856 0.856
0.443 0.443 0.443
0.557 0.557 0.557
0.259 0.259 0.259
0.741 0.741 0.741
```

DFT (PBE) results for a relaxed structure of BaNaHgAs.

Properties
formation energy: -61.0 kJ per mole of atoms

```
BaNaHgAs
1.0
7.827 0.000 0.000
0.000 7.827 0.000
0.000 0.000 7.827
Ba Na Hg As
4 4 4 4
Direct
0.000 0.000 0.000
0.000 0.500 0.500
0.500 0.000 0.500
0.500 0.500 0.000
0.000 0.000 0.500
0.000 0.500 0.000
0.500 0.000 0.000
0.500 0.500 0.500
0.250 0.250 0.250
0.250 0.750 0.750
0.750 0.250 0.750
0.750 0.750 0.250
0.250 0.250 0.750
0.250 0.750 0.250
0.750 0.250 0.250
0.750 0.750 0.750
```

DFT (PBE) results for a relaxed structure of Ba2NiHgAs.

Properties
D(E_F): 3.7 states/eV/f.u.
formation energy: -48.9 kJ per mole of atoms

```
Ba2NiHgAs
1.0
6.075 0.000 0.000
0.000 6.075 0.000
0.000 0.000 4.437
Ba Ni Hg As
2 1 1 1
Direct
0.000 0.500 0.000
0.500 0.000 0.000
0.000 0.000 0.000
0.500 0.500 0.500
0.000 0.000 0.500
```

DFT (PBE) results for a relaxed structure of BaHgAs2O8.

Properties
D(E_F): 0.8 states/eV/f.u.
ΔE_f (raw): -1.146 eV per atom

```
BaHgAs2O8
1.0
5.252 0.000 0.000
-2.626 4.549 0.000
0.000 0.000 8.137
Ba Hg As O
1 1 2 8
Direct
0.000 0.000 0.000
0.000 0.000 0.500
0.333 0.667 0.737
0.667 0.333 0.263
0.031 0.333 0.683
0.302 0.969 0.683
0.333 0.302 0.317
0.333 0.667 0.948
0.667 0.333 0.052
0.667 0.698 0.683
0.698 0.031 0.317
0.969 0.667 0.317
```

DFT (PBE) results for a relaxed structure of BaHgAs2Os.

Properties
D(E_F): 5.6 states/eV/f.u.
formation energy: 88.3 kJ per mole of atoms

```
BaHgAs2Os
1.0
5.300 0.000 0.000
0.000 5.300 0.000
0.000 0.000 5.209
Ba Hg As Os
1 1 2 1
Direct
0.000 0.000 0.000
0.500 0.500 0.500
0.000 0.500 0.500
0.500 0.000 0.500
0.500 0.500 0.000
```

DFT (PBE) results for a relaxed structure of BaHg2AsPb.

Properties
D(E_F): 2.5 states/eV/f.u.
formation energy: -35.4 kJ per mole of atoms

```
BaHg2AsPb
1.0
4.551 0.000 0.000
0.000 4.698 0.000
0.000 0.000 14.552
Ba Hg As Pb
2 4 2 2
Direct
0.000 0.000 0.000
0.500 0.500 0.500
0.000 0.000 0.629
0.000 0.500 0.270
0.500 0.000 0.770
0.500 0.500 0.129
0.000 0.000 0.434
0.500 0.500 0.934
0.000 0.500 0.785
0.500 0.000 0.285
```

DFT (PBE) results for a relaxed structure of BaHgAs2Pb.

Properties
D(E_F): 0.8 states/eV/f.u.
formation energy: -41.3 kJ per mole of atoms

```
BaHgAs2Pb
1.0
8.247 -2.293 0.000
8.247 2.293 0.000
-4.258 0.000 8.401
Ba Hg As Pb
2 2 4 2
Direct
0.225 0.225 0.227
0.775 0.775 0.773
0.100 0.100 0.493
0.900 0.900 0.507
0.138 0.138 0.804
0.373 0.373 0.632
0.627 0.627 0.368
0.862 0.862 0.196
0.446 0.446 0.124
0.554 0.554 0.876
```

DFT (PBE) results for a relaxed structure of Ba2HgAs3Pt4.

Properties
D(E_F): 5.0 states/eV/f.u.
formation energy: -63.2 kJ per mole of atoms

```
Ba2HgAs3Pt4
1.0
4.657 0.000 0.000
0.000 4.657 0.000
0.000 0.000 10.326
Ba Hg As Pt
2 1 3 4
Direct
0.000 0.500 0.248
0.500 0.000 0.752
0.000 0.000 0.500
0.000 0.500 0.884
0.500 0.000 0.116
0.500 0.500 0.500
0.000 0.000 0.000
0.000 0.500 0.640
0.500 0.000 0.360
0.500 0.500 0.000
```

DFT (PBE) results for a relaxed structure of BaHg2AsRh.

Properties
D(E_F): 4.2 states/eV/f.u.
formation energy: -33.9 kJ per mole of atoms

```
BaHg2AsRh
1.0
5.288 0.000 0.000
0.000 5.288 0.000
0.000 0.000 4.892
Ba Hg As Rh
1 2 1 1
Direct
0.000 0.000 0.000
0.000 0.500 0.500
0.500 0.000 0.500
0.500 0.500 0.000
0.500 0.500 0.500
```

DFT (PBE) results for a relaxed structure of BaHg2SbAs.

Properties
D(E_F): 5.2 states/eV/f.u.
ΔE_f (raw): 0.631 eV per atom

```
BaHg2SbAs
1.0
6.375 0.000 0.000
0.000 6.375 0.000
0.000 0.000 6.045
Ba Hg Sb As
1 2 1 1
Direct
0.000 0.000 0.000
0.000 0.500 0.000
0.500 0.000 0.000
0.500 0.500 0.500
0.000 0.000 0.500
```